Record 1
{
  "formula": "SrLiLa2Rh",
  "functional": "PBE-GGA",
  "state": "relaxed",
  "m_tot_mub_per_cell": 0.00,
  "polymorph_energy_mev_per_atom": 0.0,
  "ef_mev_per_atom": -218.3,
  "spacegroup": "P4/mmm, No. 123",
  "cell": [[5.5211, 0.0000, 0.0000], [0.0000, 5.5211, 0.0000], [0.0000, 0.0000, 6.1537]],
  "species": ["Sr", "Li", "La", "La", "Rh"],
  "frac_coords": [[0.0000, 0.0000, 0.0000], [0.5000, 0.5000, 0.0000], [0.0000, 0.5000, 0.5000], [0.5000, 0.0000, 0.5000], [0.0000, 0.0000, 0.5000]]
}

***

Record 2
{
  "formula": "LiLaTbRh",
  "functional": "PBE-GGA",
  "state": "relaxed",
  "m_tot_mub_per_cell": 0.00,
  "ef_mev_per_atom": -382.6,
  "spacegroup": "F-43m, No. 216",
  "cell": [[0.0000, 3.5898, 3.5898], [3.5898, 0.0000, 3.5898], [3.5898, 3.5898, 0.0000]],
  "species": ["Li", "La", "Tb", "Rh"],
  "frac_coords": [[0.0000, 0.0000, 0.0000], [0.7500, 0.7500, 0.7500], [0.2500, 0.2500, 0.2500], [0.5000, 0.5000, 0.5000]]
}